Material: CeTmCoRh
Method: DFT, PBE
State: optimized geometry

Results
formation energy from the elements	-0.456	eV per atom
DOS at the Fermi energy	1.182	states/eV/atom

a = 4.7960 Å, b = 4.7960 Å, c = 4.7960 Å
α = 60.00°, β = 60.00°, γ = 60.00°
Fractional positions:
Ce: 0.0000 0.0000 0.0000
Tm: 0.5000 0.5000 0.5000
Co: 0.7500 0.7500 0.7500
Rh: 0.2500 0.2500 0.2500